Record 1
Material: Zr3ReN
Method: DFT, PBE-GGA
State: optimized geometry

## Properties
* energy above the lowest structure with this stoichiometry: 2.112 eV per atom
* space group: No. 221
* theoretical density: 6.1 g/cm³

Cell: 5.0416 5.0416 5.0416 Å, 90.00 90.00 90.00°
Fractional positions:
Zr 0.0000 0.0000 0.5000
N 0.5000 0.5000 0.5000
Zr 0.0000 0.5000 0.0000
Zr 0.5000 0.0000 0.0000
Re 0.0000 0.0000 0.0000

Record 2
Material: LaTl2Zn
Method: DFT, PBE-GGA
State: optimized geometry

## Properties
* space group: No. 123
* formation energy from the elements: -0.5 eV/f.u.
* theoretical density: 9.6 g/cm³

Cell: 3.7177 3.7237 7.6382 Å, 90.00 90.00 90.00°
Fractional positions:
Tl 0.0000 0.0000 0.4611
Tl 0.0000 0.0000 0.0389
La 0.5000 0.5000 0.7500
Zn 0.5000 0.5000 0.2500

Record 3
Material: Li2Si3Pd6
Method: DFT, PBE-GGA
State: optimized geometry

## Properties
* calculated total energy: -54.76 eV for the cell shown
* space group: No. 139
* theoretical density: 7.5 g/cm³

Cell: 3.8533 3.8533 11.3697 Å, 99.76 99.76 90.00°
Fractional positions:
Si 0.8202 0.8202 0.6403
Si 0.1798 0.1798 0.3597
Pd 0.3868 0.8868 0.7736
Pd 0.1132 0.6132 0.2264
Si 0.0000 0.0000 0.0000
Li 0.4539 0.4538 0.9077
Pd 0.8868 0.3868 0.7736
Pd 0.6132 0.1132 0.2264
Li 0.5461 0.5462 0.0923
Pd 0.7154 0.7154 0.4307
Pd 0.2846 0.2846 0.5693